# 1
Pr2TaMoN5 | PBE-GGA | relaxed

## Properties
Total magnetic moment   0.00 μB per cell
Energy relative to the elements, uncorrected   -9.36 eV per formula unit
DOS(E_F)   6.10 states/eV per cell
Density   8562 kg/m3
Space group   Cmc2_1 (36)

a = 3.373 Å, b = 6.998 Å, c = 10.646 Å
α = 90.00°, β = 90.00°, γ = 103.95°
Positions (direct):
N  0.491  0.983  0.789
Ta  0.219  0.438  0.012
N  0.717  0.434  0.143
N  0.951  0.903  0.548
Mo  0.471  0.943  0.460
N  0.317  0.635  0.386
N  0.283  0.566  0.643
N  0.683  0.365  0.886
Pr  0.855  0.710  0.797
Ta  0.781  0.562  0.512
N  0.636  0.272  0.500
Mo  0.529  0.057  0.960
Pr  0.145  0.290  0.297
N  0.509  0.017  0.289
Pr  0.109  0.219  0.689
N  0.049  0.097  0.048
Pr  0.891  0.781  0.189
N  0.364  0.728  0.000



# 2
Pr2TaMo2N6 | PBE-GGA | relaxed

## Properties
Total magnetic moment   0.00 μB per cell
Energy relative to the elements, uncorrected   -6.84 eV per formula unit
DOS(E_F)   5.42 states/eV per cell
Density   7021 kg/m3
Space group   R-3m (166)

a = 6.057 Å, b = 6.057 Å, c = 6.516 Å
α = 62.30°, β = 62.30°, γ = 60.00°
Positions (direct):
N  0.233  0.233  0.760
Mo  0.571  0.571  0.287
N  0.773  0.233  0.760
N  0.767  0.767  0.240
Mo  0.429  0.429  0.713
Pr  0.802  0.802  0.593
Ta  0.000  0.000  0.000
N  0.767  0.227  0.240
Pr  0.198  0.198  0.407
N  0.227  0.767  0.240
N  0.233  0.773  0.760